Density functional theory data (PBE-GGA) for an optimized crystal structure of Tb3PmMg2.

Summary:
Final energy in eV/atom: -3.685
Formation energy in eV/atom: -0.047

The structure in CIF format:
```
data_Tb3PmMg2
_space_group_name_H-M_alt 'P 4/m m m'
_space_group_IT_number 123
_space_group_name_Hall '-P 4 2'
_cell_length_a 3.7034
_cell_length_b 3.7034
_cell_length_c 12.8754
_cell_angle_alpha 90.00
_cell_angle_beta 90.00
_cell_angle_gamma 90.00
loop_
_atom_site_label
_atom_site_fract_x
_atom_site_fract_y
_atom_site_fract_z
Tb1 0.0000 0.0000 0.0000
Tb2 0.0000 0.0000 0.3063
Pm1 0.5000 0.5000 0.5000
Mg1 0.5000 0.5000 0.1517
```

=====

Density functional theory data (PBE-GGA) for an optimized crystal structure of Tb4Pm3Mg2.

Summary:
Final energy in eV/atom: -3.988
Formation energy in eV/atom: 0.008

The structure in CIF format:
```
data_Tb4Pm3Mg2
_space_group_name_H-M_alt 'C 1 2/m 1'
_space_group_IT_number 12
_cell_length_a 14.9867
_cell_length_b 4.9750
_cell_length_c 7.9186
_cell_angle_alpha 90.00
_cell_angle_beta 108.63
_cell_angle_gamma 90.00
loop_
_space_group_symop_operation_xyz
'x,y,z'
'-x,-y,-z'
'-x,y,-z'
'x,-y,z'
'x+1/2,y+1/2,z'
'-x+1/2,-y+1/2,-z'
'-x+1/2,y+1/2,-z'
'x+1/2,-y+1/2,z'
loop_
_atom_site_label
_atom_site_fract_x
_atom_site_fract_y
_atom_site_fract_z
Tb1 0.0565 0.0000 0.3330
Tb2 0.2215 0.5000 0.3290
Pm1 0.0000 0.5000 0.0000
Pm2 0.1123 0.5000 0.6660
Mg1 0.1693 0.0000 0.9998
```

=====

Density functional theory data (PBE-GGA) for an optimized crystal structure of Tb3Pm6Mg.

Summary:
Final energy in eV/atom: -4.285
Energy above the lowest structure with this stoichiometry in eV per atom: 0.0451
Formation energy in eV/atom: 0.114

The structure in CIF format:
```
data_Tb3Pm6Mg
_space_group_name_H-M_alt 'C m c 21'
_space_group_IT_number 36
_cell_length_a 9.5832
_cell_length_b 14.8290
_cell_length_c 9.2345
_cell_angle_alpha 90.00
_cell_angle_beta 90.00
_cell_angle_gamma 90.00
loop_
_space_group_symop_operation_xyz
'x,y,z'
'-x,-y,z+1/2'
'-x,y,z'
'x,-y,z+1/2'
'x+1/2,y+1/2,z'
'-x+1/2,-y+1/2,z+1/2'
'-x+1/2,y+1/2,z'
'x+1/2,-y+1/2,z+1/2'
loop_
_atom_site_label
_atom_site_fract_x
_atom_site_fract_y
_atom_site_fract_z
Tb1 0.0000 0.0336 0.0000
Tb2 0.1770 0.3558 0.5151
Pm1 0.0000 0.2021 0.7235
Pm2 0.0000 0.4382 0.8554
Pm3 0.1753 0.1553 0.3369
Pm4 0.2167 0.4246 0.1730
Mg1 0.0000 0.2565 0.0701
```

=====

Density functional theory data (PBE-GGA) for an optimized crystal structure of TbPm2Mg3.

Summary:
Final energy in eV/atom: -3.252
Formation energy in eV/atom: -0.100

The structure in CIF format:
```
data_TbPm2Mg3
_space_group_name_H-M_alt 'P 4/m m m'
_space_group_IT_number 123
_space_group_name_Hall '-P 4 2'
_cell_length_a 3.8398
_cell_length_b 3.8398
_cell_length_c 11.5503
_cell_angle_alpha 90.00
_cell_angle_beta 90.00
_cell_angle_gamma 90.00
loop_
_atom_site_label
_atom_site_fract_x
_atom_site_fract_y
_atom_site_fract_z
Tb1 0.0000 0.0000 0.0000
Pm1 0.0000 0.0000 0.3307
Mg1 0.5000 0.5000 0.1618
Mg2 0.5000 0.5000 0.5000
```

=====

Density functional theory data (PBE-GGA) for an optimized crystal structure of Tb8Pm6Mg.

Summary:
Final energy in eV/atom: -4.349
Formation energy in eV/atom: 0.127

The structure in CIF format:
```
data_Tb8Pm6Mg
_space_group_name_H-M_alt 'P -3'
_space_group_IT_number 147
_cell_length_a 9.4748
_cell_length_b 9.4748
_cell_length_c 6.3697
_cell_angle_alpha 90.00
_cell_angle_beta 90.00
_cell_angle_gamma 120.00
loop_
_space_group_symop_operation_xyz
'x,y,z'
'-x,-y,-z'
'-y,x-y,z'
'y,-x+y,-z'
'-x+y,-x,z'
'x-y,x,-z'
loop_
_atom_site_label
_atom_site_fract_x
_atom_site_fract_y
_atom_site_fract_z
Tb1 0.0375 0.7713 0.3148
Tb2 0.3333 0.6667 0.3391
Pm1 0.0898 0.6405 0.8183
Mg1 0.0000 0.0000 0.0000
```

=====

Density functional theory data (PBE-GGA) for an optimized crystal structure of Tb5Pm4Mg2.

Summary:
Final energy in eV/atom: -4.045
Energy above the lowest structure with this stoichiometry in eV per atom: 0.0000
Formation energy in eV/atom: 0.077

The structure in CIF format:
```
data_Tb5Pm4Mg2
_space_group_name_H-M_alt 'P 1 2/m 1'
_space_group_IT_number 10
_cell_length_a 8.7492
_cell_length_b 3.4645
_cell_length_c 11.5254
_cell_angle_alpha 90.00
_cell_angle_beta 93.95
_cell_angle_gamma 90.00
loop_
_space_group_symop_operation_xyz
'x,y,z'
'-x,-y,-z'
'-x,y,-z'
'x,-y,z'
loop_
_atom_site_label
_atom_site_fract_x
_atom_site_fract_y
_atom_site_fract_z
Tb1 0.0000 0.0000 0.0000
Tb2 0.0734 0.0000 0.2921
Tb3 0.2939 0.0000 0.8310
Pm1 0.2106 0.5000 0.5484
Pm2 0.3528 0.5000 0.1123
Mg1 0.4485 0.0000 0.3689
```

=====

Density functional theory data (PBE-GGA) for an optimized crystal structure of Tb3PmMg.

Summary:
Final energy in eV/atom: -3.836
Energy above the lowest structure with this stoichiometry in eV per atom: 0.1764
Formation energy in eV/atom: 0.211

The structure in CIF format:
```
data_Tb3PmMg
_space_group_name_H-M_alt 'P 63/m m c'
_space_group_IT_number 194
_space_group_name_Hall '-P 6c 2c'
_cell_length_a 8.1046
_cell_length_b 8.1046
_cell_length_c 5.7725
_cell_angle_alpha 90.00
_cell_angle_beta 90.00
_cell_angle_gamma 120.00
loop_
_atom_site_label
_atom_site_fract_x
_atom_site_fract_y
_atom_site_fract_z
Tb1 0.1944 0.3887 0.2500
Pm1 0.3333 0.6667 0.7500
Mg1 0.0000 0.0000 0.0000
```

=====

Density functional theory data (PBE-GGA) for an optimized crystal structure of Tb5PmMg3.

Summary:
Final energy in eV/atom: -3.233
Formation energy in eV/atom: 0.399

The structure in CIF format:
```
data_Tb5PmMg3
_space_group_name_H-M_alt 'C 1 2/m 1'
_space_group_IT_number 12
_cell_length_a 13.3591
_cell_length_b 8.3362
_cell_length_c 10.7501
_cell_angle_alpha 90.00
_cell_angle_beta 97.90
_cell_angle_gamma 90.00
loop_
_space_group_symop_operation_xyz
'x,y,z'
'-x,-y,-z'
'-x,y,-z'
'x,-y,z'
'x+1/2,y+1/2,z'
'-x+1/2,-y+1/2,-z'
'-x+1/2,y+1/2,-z'
'x+1/2,-y+1/2,z'
loop_
_atom_site_label
_atom_site_fract_x
_atom_site_fract_y
_atom_site_fract_z
Tb1 0.0000 0.1727 0.0000
Tb2 0.0210 0.0000 0.6518
Tb3 0.1485 0.3061 0.7380
Tb4 0.2494 0.5000 0.0350
Pm1 0.1118 0.5000 0.2680
Mg1 0.0000 0.5000 0.0000
Mg2 0.0000 0.5000 0.5000
Mg3 0.1547 0.0000 0.2070
Mg4 0.2139 0.0000 0.4869
```

=====

Density functional theory data (PBE-GGA) for an optimized crystal structure of TbPm12Mg3.

Summary:
Final energy in eV/atom: -4.146
Formation energy in eV/atom: 0.006

The structure in CIF format:
```
data_TbPm12Mg3
_space_group_name_H-M_alt 'P 4/m m m'
_space_group_IT_number 123
_space_group_name_Hall '-P 4 2'
_cell_length_a 5.0301
_cell_length_b 5.0301
_cell_length_c 20.2673
_cell_angle_alpha 90.00
_cell_angle_beta 90.00
_cell_angle_gamma 90.00
loop_
_atom_site_label
_atom_site_fract_x
_atom_site_fract_y
_atom_site_fract_z
Tb1 0.0000 0.0000 0.0000
Pm1 0.0000 0.5000 0.1282
Pm2 0.0000 0.5000 0.3766
Pm3 0.5000 0.5000 0.0000
Pm4 0.5000 0.5000 0.2534
Pm5 0.5000 0.5000 0.5000
Mg1 0.0000 0.0000 0.2543
Mg2 0.0000 0.0000 0.5000
```

=====

Density functional theory data (PBE-GGA) for an optimized crystal structure of Tb6Pm2Mg.

Summary:
Final energy in eV/atom: -4.180
Energy above the lowest structure with this stoichiometry in eV per atom: 0.1197
Formation energy in eV/atom: 0.140

The structure in CIF format:
```
data_Tb6Pm2Mg
_space_group_name_H-M_alt 'C 1 2/m 1'
_space_group_IT_number 12
_cell_length_a 9.9635
_cell_length_b 7.1746
_cell_length_c 8.4587
_cell_angle_alpha 90.00
_cell_angle_beta 104.98
_cell_angle_gamma 90.00
loop_
_space_group_symop_operation_xyz
'x,y,z'
'-x,-y,-z'
'-x,y,-z'
'x,-y,z'
'x+1/2,y+1/2,z'
'-x+1/2,-y+1/2,-z'
'-x+1/2,y+1/2,-z'
'x+1/2,-y+1/2,z'
loop_
_atom_site_label
_atom_site_fract_x
_atom_site_fract_y
_atom_site_fract_z
Tb1 0.0455 0.2391 0.2093
Tb2 0.1766 0.0000 0.5793
Pm1 0.2301 0.5000 0.9626
Mg1 0.0000 0.5000 0.5000
```

=====

Density functional theory data (PBE-GGA) for an optimized crystal structure of Tb2Pm8Mg.

Summary:
Final energy in eV/atom: -4.431
Energy above the lowest structure with this stoichiometry in eV per atom: 0.0000
Formation energy in eV/atom: 0.011

The structure in CIF format:
```
data_Tb2Pm8Mg
_space_group_name_H-M_alt 'C 1 2/m 1'
_space_group_IT_number 12
_cell_length_a 18.3258
_cell_length_b 5.1069
_cell_length_c 8.0502
_cell_angle_alpha 90.00
_cell_angle_beta 105.36
_cell_angle_gamma 90.00
loop_
_space_group_symop_operation_xyz
'x,y,z'
'-x,-y,-z'
'-x,y,-z'
'x,-y,z'
'x+1/2,y+1/2,z'
'-x+1/2,-y+1/2,-z'
'-x+1/2,y+1/2,-z'
'x+1/2,-y+1/2,z'
loop_
_atom_site_label
_atom_site_fract_x
_atom_site_fract_y
_atom_site_fract_z
Tb1 0.2253 0.0000 0.1349
Pm1 0.0458 0.0000 0.2233
Pm2 0.0906 0.5000 0.9488
Pm3 0.1367 0.0000 0.6817
Pm4 0.1815 0.5000 0.4099
Mg1 0.0000 0.5000 0.5000
```

=====

Density functional theory data (PBE-GGA) for an optimized crystal structure of Tb7Pm2Mg.

Summary:
Final energy in eV/atom: -3.700
Formation energy in eV/atom: 0.651

The structure in CIF format:
```
data_Tb7Pm2Mg
_space_group_name_H-M_alt 'C m m m'
_space_group_IT_number 65
_space_group_name_Hall '-C 2 2'
_cell_length_a 8.6429
_cell_length_b 16.6276
_cell_length_c 5.3252
_cell_angle_alpha 90.00
_cell_angle_beta 90.00
_cell_angle_gamma 90.00
loop_
_atom_site_label
_atom_site_fract_x
_atom_site_fract_y
_atom_site_fract_z
Tb1 0.0000 0.0000 0.0000
Tb2 0.0000 0.2960 0.5000
Tb3 0.1780 0.3941 0.0000
Pm1 0.0000 0.2059 0.0000
Mg1 0.0000 0.5000 0.5000
```